# 1
! PBE-GGA CaTm2Ti, optimized geometry; values from VASP
&SYSTEM
  ibrav = 0, nat = 4, ntyp = 3
/
ATOMIC_SPECIES
Ca 40.08 Ca.upf
Tm 168.93 Tm.upf
Ti 47.87 Ti.upf
CELL_PARAMETERS angstrom
-0.300 3.294 1.195
-2.690 -0.985 2.041
5.995 -1.974 6.949
ATOMIC_POSITIONS crystal
Ca 0.500 0.500 0.500
Tm 0.000 0.000 0.802
Tm 0.000 0.000 0.198
Ti 0.500 0.500 0.000
! **Fermi-level density of states**: 6.739 states/eV per cell
! **Energy above the most stable polymorph in this dataset**: 0.000 eV/atom
! **Total moment**: 0.1 μB/f.u.
! **Raw total energy**: -4.541 eV per atom

=====

# 2
! PBE-GGA CaTm2Ti, optimized geometry; values from VASP
&SYSTEM
  ibrav = 0, nat = 4, ntyp = 3
/
ATOMIC_SPECIES
Ca 40.08 Ca.upf
Tm 168.93 Tm.upf
Ti 47.87 Ti.upf
CELL_PARAMETERS angstrom
3.353 0.000 0.000
1.677 2.904 0.000
1.677 0.968 11.991
ATOMIC_POSITIONS crystal
Ca 0.500 0.500 0.500
Tm 0.080 0.080 0.759
Tm 0.920 0.920 0.241
Ti 0.000 0.000 0.000
! **Fermi-level density of states**: 5.858 states/eV per cell
! **Energy above the most stable polymorph in this dataset**: 0.360 eV/atom
! **Total moment**: 1.8 μB/f.u.
! **Raw total energy**: -4.180 eV per atom